Record 1
A relaxed structure of Tb3Pr6Nd2Er. Source: the Alexandria database, functional GGA-PBE.

Cell and atoms, written as CIF:
```
data_Tb3Pr6Nd2Er
_chemical_formula_sum 'Tb6 Pr12 Nd4 Er2'
_cell_length_a 6.344
_cell_length_b 10.990
_cell_length_c 12.032
_cell_angle_alpha 90.00
_cell_angle_beta 100.12
_cell_angle_gamma 90.00
_space_group_name_H-M_alt 'C 1 2/m 1'
_space_group_IT_number 12
loop_
_space_group_symop_operation_xyz
'x,y,z'
'-x,-y,-z'
'-x,y,-z'
'x,-y,z'
'x+1/2,y+1/2,z'
'-x+1/2,-y+1/2,-z'
'-x+1/2,y+1/2,-z'
'x+1/2,-y+1/2,z'
loop_
_atom_site_label
_atom_site_type_symbol
_atom_site_fract_x
_atom_site_fract_y
_atom_site_fract_z
Tb1 Tb 0.000 0.000 0.000
Tb2 Tb 0.000 0.334 0.000
Pr1 Pr 0.248 0.500 0.248
Pr2 Pr 0.250 0.166 0.248
Nd1 Nd 0.000 0.167 0.500
Er1 Er 0.000 0.500 0.500
```

Computed properties:
theoretical density: 7.15 g cm⁻³
calculated formation energy: 0.15 eV per formula unit

Record 2
A relaxed structure of TbPr6NdEr2. Source: the Alexandria database, functional GGA-PBE.

Cell and atoms, written as CIF:
```
data_TbPr6NdEr2
_chemical_formula_sum 'Tb4 Pr24 Nd4 Er8'
_cell_length_a 9.352
_cell_length_b 15.374
_cell_length_c 9.791
_cell_angle_alpha 90.00
_cell_angle_beta 98.06
_cell_angle_gamma 90.00
_space_group_name_H-M_alt 'C 1 2/c 1'
_space_group_IT_number 15
loop_
_space_group_symop_operation_xyz
'x,y,z'
'-x,-y,-z'
'-x,y,-z+1/2'
'x,-y,z+1/2'
'x+1/2,y+1/2,z'
'-x+1/2,-y+1/2,-z'
'-x+1/2,y+1/2,-z+1/2'
'x+1/2,-y+1/2,z+1/2'
loop_
_atom_site_label
_atom_site_type_symbol
_atom_site_fract_x
_atom_site_fract_y
_atom_site_fract_z
Tb1 Tb 0.000 0.030 0.250
Pr1 Pr 0.065 0.174 0.945
Pr2 Pr 0.097 0.393 0.119
Pr3 Pr 0.211 0.224 0.315
Nd1 Nd 0.000 0.407 0.750
Er1 Er 0.244 0.047 0.547
```

Computed properties:
theoretical density: 7.07 g cm⁻³
calculated formation energy: 1.13 eV per formula unit

Record 3
A relaxed structure of TbPrNd2Er2. Source: the Alexandria database, functional GGA-PBE.

Cell and atoms, written as CIF:
```
data_TbPrNd2Er2
_chemical_formula_sum 'Tb2 Pr2 Nd4 Er4'
_cell_length_a 7.055
_cell_length_b 9.895
_cell_length_c 5.696
_cell_angle_alpha 90.00
_cell_angle_beta 90.00
_cell_angle_gamma 90.00
_space_group_name_H-M_alt 'P n n m'
_space_group_IT_number 58
loop_
_space_group_symop_operation_xyz
'x,y,z'
'-x,-y,-z'
'-x,-y,z'
'x,y,-z'
'x+1/2,-y+1/2,-z+1/2'
'-x+1/2,y+1/2,z+1/2'
'-x+1/2,y+1/2,-z+1/2'
'x+1/2,-y+1/2,z+1/2'
loop_
_atom_site_label
_atom_site_type_symbol
_atom_site_fract_x
_atom_site_fract_y
_atom_site_fract_z
Tb1 Tb 0.000 0.000 0.000
Pr1 Pr 0.000 0.500 0.500
Nd1 Nd 0.248 0.167 0.500
Er1 Er 0.250 0.334 0.000
```

Computed properties:
theoretical density: 7.71 g cm⁻³
calculated formation energy: 0.39 eV per formula unit